No. 1
LiTe2Br: optimized geometry, GGA-PBE. Values from VASP.

```
&SYSTEM
  ibrav = 0, nat = 4, ntyp = 3
/
ATOMIC_SPECIES
Li 6.94 Li.upf
Te 127.60 Te.upf
Br 79.90 Br.upf
CELL_PARAMETERS angstrom
-3.278 1.472 3.985
2.734 -3.131 3.393
2.576 3.734 -2.865
ATOMIC_POSITIONS angstrom
Li -0.487 2.188 2.404
Te 0.000 0.000 0.000
Te 2.519 -0.114 2.108
Br -0.272 -0.830 3.689
```

Calculated values
raw formation energy = -0.12 eV/atom
SG = I-4m2 (119)
relative energy among the computed polymorphs = 0.501 eV/atom
E_tot = -2.59 eV/atom

---

No. 2
Pr3Nd4Er2: optimized geometry, GGA-PBE. Values from VASP.

```
&SYSTEM
  ibrav = 0, nat = 9, ntyp = 3
/
ATOMIC_SPECIES
Er 167.26 Er.upf
Pr 140.91 Pr.upf
Nd 144.24 Nd.upf
CELL_PARAMETERS angstrom
-0.427 1.105 3.449
2.797 -2.164 -0.888
15.369 21.963 -5.132
ATOMIC_POSITIONS angstrom
Er 14.077 19.206 -2.482
Er 1.988 1.930 1.555
Pr 15.110 21.592 -5.046
Pr 10.726 14.418 -1.363
Pr 4.910 7.017 -1.640
Nd 8.351 11.934 -2.789
Nd 11.824 16.898 -3.949
Nd 7.314 9.541 -0.223
Nd 3.894 4.654 0.919
```

Calculated values
SG = P3m1 (156)
relative energy among the computed polymorphs = 0.058 eV/atom
formation energy = 73 meV per atom
E_tot = -4.65 eV/atom

---

No. 3
Li2LaW: optimized geometry, GGA-PBE. Values from VASP.

```
&SYSTEM
  ibrav = 0, nat = 4, ntyp = 3
/
ATOMIC_SPECIES
Li 6.94 Li.upf
La 138.91 La.upf
W 183.84 W.upf
CELL_PARAMETERS angstrom
-0.002 -2.243 4.938
2.217 -2.934 -3.986
2.527 1.180 0.537
ATOMIC_POSITIONS angstrom
Li 0.000 0.000 0.000
Li 1.107 -2.588 0.476
La 2.372 -0.877 -1.725
W 1.263 -0.531 2.737
```

Calculated values
SG = Cmmm (65)
relative energy among the computed polymorphs = 0.159 eV/atom
formation energy = 660 meV per atom
E_tot = -4.77 eV/atom